Compound: Er2GeBr3
Source: Alexandria via LeMat-Bulk
Functional: PBE
Structure: relaxed

Symmetry: C2/m, No. 12
Energy relative to the elements, uncorrected in eV/atom: -1.3447
Raw total energy in eV per atom: -4.47

Unit cell a=9.5561 b=9.5561 c=12.7467 alpha=128.42 beta=128.42 gamma=24.37
Last column: nearest neighbours and their distance in Å.
Fractional coordinates of all 12 atoms:
Er 0.1110 0.1110 0.4409  2 Ge 2.83-2.96, 4 Br 2.84-2.93
Er 0.3738 0.3738 0.1803  2 Ge 2.82, 4 Br 2.86-2.96
Er 0.6262 0.6262 0.8197  2 Ge 2.82, 4 Br 2.86-2.96
Er 0.8890 0.8890 0.5591  2 Ge 2.83-2.96, 4 Br 2.84-2.93
Ge 0.0646 0.0646 0.6241  1 Ge 2.48
Ge 0.9354 0.9354 0.3759  1 Ge 2.48
Br 0.1759 0.1759 0.0261  3 Er 2.88-2.96
Br 0.2571 0.2571 0.3864  2 Er 2.84
Br 0.4535 0.4535 0.7689  3 Er 2.86-2.93
Br 0.5465 0.5465 0.2311  3 Er 2.86-2.93
Br 0.7429 0.7429 0.6136  2 Er 2.84
Br 0.8241 0.8241 0.9739  3 Er 2.88-2.96